Na17Li2 | PBE | relaxed

a = 9.107 Å, b = 9.107 Å, c = 9.107 Å
α = 79.24°, β = 79.24°, γ = 79.24°
Positions (direct):
Na1 0.000 0.000 0.500
Na2 0.000 0.316 0.684
Na3 0.000 0.500 0.000
Na4 0.000 0.684 0.316
Na5 0.094 0.094 0.094
Na6 0.158 0.648 0.648
Na7 0.316 0.000 0.684
Na8 0.316 0.684 0.000
Na9 0.352 0.352 0.842
Na10 0.352 0.842 0.352
Na11 0.500 0.000 0.000
Na12 0.648 0.158 0.648
Na13 0.648 0.648 0.158
Na14 0.684 0.000 0.316
Na15 0.684 0.316 0.000
Na16 0.842 0.352 0.352
Na17 0.906 0.906 0.906
Li1 0.294 0.294 0.294
Li2 0.706 0.706 0.706

- Density: 0.93 Mg/m³
- VASP energy: -1.29 eV per atom
- Symmetry: R-3m (166)
- M_tot: 0.00 μB per formula unit
- D(E_F): 10.349 states/eV/f.u.